1.
This record from Alexandria describes Pm5Pr2Bi5 after structural relaxation. The functional is PBE-GGA.

Lattice parameters (Å, degrees): 7.7636 7.7636 13.2642 107.14 107.14 33.98
Atoms (fractional coordinates):
Pm: 0.0000 0.0000 0.0000
Pm: 0.1594 0.1594 0.5389
Pm: 0.2225 0.2225 0.8426
Pm: 0.7775 0.7775 0.1574
Pm: 0.8406 0.8406 0.4611
Pr: 0.4610 0.4610 0.7193
Pr: 0.5390 0.5390 0.2807
Bi: 0.1984 0.1984 0.2960
Bi: 0.3767 0.3767 0.0625
Bi: 0.5000 0.5000 0.5000
Bi: 0.6233 0.6233 0.9375
Bi: 0.8016 0.8016 0.7040

Computed properties:
Total magnetic moment   0.000 μB/atom
Calculated total energy   -5.07 eV/atom
Space group   No. 12
DOS(E_F)   0.85 states/eV per atom
V   425.08 Å³ per cell


2.
This record from Alexandria describes AcSm3Os after structural relaxation. The functional is PBE-GGA.

Lattice parameters (Å, degrees): 7.9332 7.7619 10.5596 90.00 104.06 90.00
Atoms (fractional coordinates):
Ac: 0.2053 0.0444 0.2502
Ac: 0.2053 0.4556 0.7502
Ac: 0.7947 0.5444 0.2498
Ac: 0.7947 0.9556 0.7498
Sm: 0.0833 0.7049 0.0317
Sm: 0.0833 0.7951 0.5317
Sm: 0.3071 0.5175 0.3776
Sm: 0.3071 0.9825 0.8776
Sm: 0.3952 0.1244 0.5955
Sm: 0.3952 0.3756 0.0955
Sm: 0.6048 0.6244 0.9045
Sm: 0.6048 0.8756 0.4045
Sm: 0.6929 0.0175 0.1224
Sm: 0.6929 0.4825 0.6224
Sm: 0.9167 0.2049 0.4683
Sm: 0.9167 0.2951 0.9683
Os: 0.4476 0.7481 0.6131
Os: 0.4476 0.7519 0.1131
Os: 0.5524 0.2481 0.8869
Os: 0.5524 0.2519 0.3869

Computed properties:
Total magnetic moment   0.000 μB/atom
Calculated total energy   -5.92 eV/atom
Space group   No. 14
DOS(E_F)   1.10 states/eV per atom
Distance to the lowest polymorph of the same formula   0.0 kJ per mole of atoms
V   630.76 Å³ per cell


3.
This record from Alexandria describes Er5Tl4Cu after structural relaxation. The functional is PBE-GGA.

Lattice parameters (Å, degrees): 7.6331 7.6331 7.6331 97.63 97.63 137.27
Atoms (fractional coordinates):
Er: 0.0000 0.0000 0.0000
Er: 0.2813 0.3550 0.6363
Er: 0.3550 0.7187 0.0737
Er: 0.6450 0.2813 0.9263
Er: 0.7187 0.6450 0.3637
Tl: 0.0295 0.6680 0.6975
Tl: 0.3320 0.0295 0.3614
Tl: 0.6680 0.9705 0.6386
Tl: 0.9705 0.3320 0.3025
Cu: 0.5000 0.5000 0.0000

Computed properties:
Total magnetic moment   0.000 μB/atom
Calculated total energy   -3.73 eV/atom
Space group   No. 87
DOS(E_F)   0.69 states/eV per atom
Distance to the lowest polymorph of the same formula   21.2 kJ per mole of atoms
V   281.01 Å³ per cell


4.
This record from Alexandria describes RbCaSbTe2 after structural relaxation. The functional is PBE-GGA.

Lattice parameters (Å, degrees): 5.9892 5.9892 5.8675 90.00 90.00 90.00
Atoms (fractional coordinates):
Rb: 0.0000 0.0000 0.0000
Ca: 0.5000 0.5000 0.5000
Sb: 0.5000 0.5000 0.0000
Te: 0.0000 0.5000 0.5000
Te: 0.5000 0.0000 0.5000

Computed properties:
Total magnetic moment   0.000 μB/atom
Calculated total energy   -3.02 eV/atom
Space group   No. 123
DOS(E_F)   1.02 states/eV per atom
Distance to the lowest polymorph of the same formula   0.0 kJ per mole of atoms
V   210.47 Å³ per cell